(1)
{"formula": "AsHW3", "functional": "PBE", "state": "optimized geometry", "m_tot_mub_per_cell": 0.00, "crystal_system": "cubic", "cell": [[4.045, 0.000, 0.000], [0.000, 4.045, 0.000], [0.000, 0.000, 4.045]], "species": ["W", "H", "W", "W", "As"], "fractional_positions": [[0.000, 0.000, 0.500], [0.000, 0.000, 0.000], [0.000, 0.500, 0.000], [0.500, 0.000, 0.000], [0.500, 0.500, 0.500]]}


(2)
{"formula": "AsH2W2", "functional": "PBE", "state": "optimized geometry", "m_tot_mub_per_cell": 0.00, "crystal_system": "tetragonal", "cell": [[-5.526, 0.034, -1.188], [-0.599, -4.961, 2.641], [-0.611, 1.610, 2.886]], "species": ["H", "As", "W", "As", "H", "W", "W", "W", "H", "H"], "fractional_positions": [[0.441, 0.941, 0.000], [0.000, 0.000, 0.000], [0.173, 0.673, 0.500], [0.500, 0.500, 0.000], [0.559, 0.059, 0.000], [0.673, 0.827, 0.500], [0.327, 0.173, 0.500], [0.827, 0.327, 0.500], [0.059, 0.441, 0.000], [0.941, 0.559, 0.000]]}


Short version: energy above the most stable polymorph in this dataset = 0.0; 30.0 meV/atom, in the order given.